# 1
A plane-wave DFT calculation with PBE was carried out for KOsPb2 after structural relaxation.

a = 10.2226 Å, b = 10.2226 Å, c = 10.2226 Å
α = 19.83°, β = 19.83°, γ = 19.83°
Fractional positions:
Pb (0.0176, 0.0176, 0.0176)
Pb (0.4824, 0.4824, 0.4824)
Os (0.7500, 0.7500, 0.7500)
K (0.2500, 0.2500, 0.2500)

Properties
Formation energy in kJ/mol of atoms: 50.1
Volume in Å³/f.u.: 107
Magnetic moment in μB/cell: 0.00
Crystal system: trigonal
Total DFT energy (no corrections) in eV per atom: -4.42


# 2
A plane-wave DFT calculation with PBE was carried out for PdPt4Au4 after structural relaxation.

a = 4.0129 Å, b = 6.4270 Å, c = 6.4270 Å
α = 84.41°, β = 71.81°, γ = 71.81°
Fractional positions:
Pt (0.6615, 0.3385, 0.3385)
Pt (0.0000, 0.6615, 0.3385)
Au (0.3339, 0.3322, 0.0000)
Pt (0.0000, 0.3385, 0.6615)
Pt (0.3385, 0.6615, 0.6615)
Au (0.3339, 0.0000, 0.3322)
Pd (0.0000, 0.0000, 0.0000)
Au (0.6661, 0.6678, 0.0000)
Au (0.6661, 0.0000, 0.6678)

Properties
Formation energy in kJ/mol of atoms: 2.9
Volume in Å³/f.u.: 150
Magnetic moment in μB/cell: 0.00
Crystal system: tetragonal
Total DFT energy (no corrections) in eV per atom: -4.69


# 3
A plane-wave DFT calculation with PBE was carried out for GaRe after structural relaxation.

a = 2.9242 Å, b = 15.4587 Å, c = 2.8445 Å
α = 90.00°, β = 90.00°, γ = 90.00°
Fractional positions:
Ga (0.0000, 0.5766, 0.7500)
Re (0.5000, 0.3038, 0.7500)
Re (0.0000, 0.1962, 0.2500)
Re (0.5000, 0.6962, 0.2500)
Re (0.0000, 0.8038, 0.7500)
Ga (0.5000, 0.0766, 0.7500)
Ga (0.5000, 0.9234, 0.2500)
Ga (0.0000, 0.4234, 0.2500)

Properties
Formation energy in kJ/mol of atoms: 3.9
Volume in Å³/f.u.: 32
Magnetic moment in μB/cell: 0.00
Crystal system: orthorhombic
Total DFT energy (no corrections) in eV per atom: -7.70


# 4
A plane-wave DFT calculation with PBE was carried out for Cu3AsPd after structural relaxation.

a = 4.4419 Å, b = 4.4419 Å, c = 4.4419 Å
α = 90.00°, β = 90.00°, γ = 90.00°
Fractional positions:
Cu (0.0000, 0.5000, 0.0000)
Pd (0.5000, 0.5000, 0.5000)
As (0.0000, 0.0000, 0.0000)
Cu (0.0000, 0.0000, 0.5000)
Cu (0.5000, 0.0000, 0.0000)

Properties
Formation energy in kJ/mol of atoms: 40.3
Volume in Å³/f.u.: 88
Magnetic moment in μB/cell: 0.00
Crystal system: cubic
Total DFT energy (no corrections) in eV per atom: -4.01


# 5
A plane-wave DFT calculation with PBE was carried out for Th4CdRh12 after structural relaxation.

a = 7.3976 Å, b = 7.3976 Å, c = 7.3976 Å
α = 109.47°, β = 109.47°, γ = 109.47°
Fractional positions:
Rh (0.6947, 0.6947, 0.0000)
Th (0.0000, 0.5000, 0.0000)
Rh (0.0000, 0.6947, 0.6947)
Rh (0.5000, 0.7500, 0.2500)
Th (0.5000, 0.5000, 0.5000)
Th (0.5000, 0.0000, 0.0000)
Cd (0.0000, 0.0000, 0.0000)
Rh (0.2500, 0.5000, 0.7500)
Th (0.0000, 0.0000, 0.5000)
Rh (0.0000, 0.3053, 0.3053)
Rh (0.7500, 0.5000, 0.2500)
Rh (0.7500, 0.2500, 0.5000)
Rh (0.3053, 0.0000, 0.3053)
Rh (0.2500, 0.7500, 0.5000)
Rh (0.6947, 0.0000, 0.6947)
Rh (0.5000, 0.2500, 0.7500)
Rh (0.3053, 0.3053, 0.0000)

Properties
Formation energy in kJ/mol of atoms: -58.4
Volume in Å³/f.u.: 312
Magnetic moment in μB/cell: 0.00
Crystal system: cubic
Total DFT energy (no corrections) in eV per atom: -7.59


# 6
A plane-wave DFT calculation with PBE was carried out for SrCoTe2 after structural relaxation.

a = 9.5189 Å, b = 9.5189 Å, c = 9.5189 Å
α = 23.74°, β = 23.74°, γ = 23.74°
Last column: magnetic moment on the atom in μB.
Fractional positions:
Sr (0.0000, 0.0000, 0.0000)  0.10
Te (0.1201, 0.1201, 0.1201)  0.01
Te (0.8799, 0.8799, 0.8799)  0.01
Co (0.5000, 0.5000, 0.5000)  0.08

Properties
Volume in Å³/f.u.: 123
Magnetic moment in μB/cell: 0.50
Crystal system: trigonal
Total DFT energy (no corrections) in eV per atom: -3.98